NiP3F: relaxed, PBE with a Hubbard U.

Computed properties:
Total energy: -0.2193 Ry/atom
D(E_F): 3.0 states/eV/f.u.

POSCAR file:
```
NiP3F
1.0
-1.081 -1.633 3.810
4.041 0.461 1.345
-0.923 3.933 1.424
P Ni F
3 1 1
Cartesian
2.020 0.231 0.672
-0.541 -0.817 1.905
-0.462 1.967 0.712
1.018 1.381 3.289
0.000 0.000 0.000
```